[1]
A geometry-optimized CsCd4SnSb2 structure, computed with GGA-PBE.

abc: 4.741 4.741 11.494
angles: 90.00 90.00 90.00
Fractional positions:
Cs (0.000, 0.000, 0.000)
Cd (0.000, 0.500, 0.337)
Cd (0.000, 0.500, 0.663)
Cd (0.500, 0.000, 0.337)
Cd (0.500, 0.000, 0.663)
Sn (0.000, 0.000, 0.500)
Sb (0.500, 0.500, 0.188)
Sb (0.500, 0.500, 0.812)

Results
**E_tot**: -18.10 eV/cell
**Magnetic moment**: 0.00 μB/atom
**Fermi-level density of states**: 2.26 states/eV/cell
**Raw formation energy**: -167 meV per atom

[2]
A geometry-optimized Cs3Cd2Sn2Sb4 structure, computed with GGA-PBE.

abc: 5.102 5.102 20.624
angles: 90.00 90.00 120.00
Fractional positions:
Cs (0.000, 0.000, 0.000)
Cs (0.000, 0.000, 0.282)
Cs (0.000, 0.000, 0.718)
Cd (0.333, 0.667, 0.142)
Cd (0.667, 0.333, 0.858)
Sn (0.333, 0.667, 0.555)
Sn (0.667, 0.333, 0.445)
Sb (0.333, 0.667, 0.412)
Sb (0.333, 0.667, 0.857)
Sb (0.667, 0.333, 0.143)
Sb (0.667, 0.333, 0.588)

Results
**E_tot**: -32.14 eV/cell
**Magnetic moment**: 0.00 μB/atom
**Fermi-level density of states**: 1.28 states/eV/cell
**Raw formation energy**: -296 meV per atom

[3]
A geometry-optimized Cs2Cd4Sn3Sb structure, computed with GGA-PBE.

abc: 5.062 5.062 12.655
angles: 90.00 90.00 90.00
Fractional positions:
Cs (0.000, 0.500, 0.248)
Cs (0.500, 0.000, 0.752)
Cd (0.000, 0.000, 0.000)
Cd (0.000, 0.500, 0.641)
Cd (0.500, 0.000, 0.359)
Cd (0.500, 0.500, 0.000)
Sn (0.000, 0.500, 0.873)
Sn (0.500, 0.000, 0.127)
Sn (0.500, 0.500, 0.500)
Sb (0.000, 0.000, 0.500)

Results
**E_tot**: -22.96 eV/cell
**Magnetic moment**: 0.00 μB/atom
**Fermi-level density of states**: 5.48 states/eV/cell
**Raw formation energy**: -146 meV per atom